Record 1
A geometry-optimized Hg6H2Au structure, computed with PBE-GGA.

```
Hg6H2Au
1.0
6.0818 -5.6262 0.0000
6.0818 5.6262 0.0000
-5.7335 0.0000 6.2526
Hg H Au
12 4 2
direct
0.0545 0.8360 0.5311 Hg
0.1638 0.4792 0.1451 Hg
0.1640 0.9455 0.9689 Hg
0.2087 0.5425 0.7625 Hg
0.4575 0.7913 0.7375 Hg
0.4792 0.1638 0.6451 Hg
0.5208 0.8362 0.3549 Hg
0.5425 0.2087 0.2625 Hg
0.7913 0.4575 0.2375 Hg
0.8360 0.0545 0.0311 Hg
0.8362 0.5208 0.8549 Hg
0.9455 0.1640 0.4689 Hg
0.3641 0.4146 0.2884 H
0.4146 0.3641 0.7884 H
0.5854 0.6359 0.2116 H
0.6359 0.5854 0.7116 H
0.1247 0.8753 0.2500 Au
0.8753 0.1247 0.7500 Au
```

Properties
SG   C2/c
Raw total energy   -1.1055 eV per atom
V   23.772 A^3/atom
Theoretical density   10.886 g cm⁻³

***

Record 2
A geometry-optimized K2HgHAu structure, computed with PBE-GGA.

```
K2HgHAu
1.0
6.0434 0.0000 0.0000
0.0000 6.0434 0.0000
0.0000 0.0000 3.7181
K Hg H Au
2 1 1 1
direct
0.0000 0.5000 0.0000 K
0.5000 0.0000 0.0000 K
0.0000 0.0000 0.5000 Hg
0.5000 0.5000 0.0000 H
0.5000 0.5000 0.5000 Au
```

Properties
SG   P4/mmm
ΔE to the lowest computed polymorph   0 meV per atom
V   27.159 A^3/atom
Theoretical density   5.830 g cm⁻³

***

Record 3
A geometry-optimized KHg2HAu structure, computed with PBE-GGA.

```
KHg2HAu
1.0
5.8400 0.0000 0.0000
0.0000 5.8400 0.0000
0.0000 0.0000 3.6923
K Hg H Au
1 2 1 1
direct
0.0000 0.0000 0.0000 K
0.0000 0.5000 0.5000 Hg
0.5000 0.0000 0.5000 Hg
0.5000 0.5000 0.0000 H
0.5000 0.5000 0.5000 Au
```

Properties
SG   P4/mmm
Raw total energy   -1.7067 eV per atom
V   25.186 A^3/atom
Theoretical density   8.416 g cm⁻³

***

Record 4
A geometry-optimized K2HgH6Au structure, computed with PBE-GGA.

```
K2HgH6Au
1.0
0.0000 4.0860 4.1304
4.0812 0.0000 4.1304
4.0812 4.0860 0.0000
K Hg H Au
2 1 6 1
direct
0.2500 0.2500 0.2500 K
0.7500 0.7500 0.7500 K
0.0000 0.0000 0.0000 Hg
0.2835 0.2835 0.7165 H
0.2846 0.7154 0.2846 H
0.2856 0.7144 0.7144 H
0.7144 0.2856 0.2856 H
0.7154 0.2846 0.7154 H
0.7165 0.7165 0.2835 H
0.5000 0.5000 0.5000 Au
```

Properties
SG   Fmmm
Raw total energy   -2.6523 eV per atom
V   13.776 A^3/atom
Theoretical density   5.808 g cm⁻³

***

Record 5
A geometry-optimized K2HgHAu structure, computed with PBE-GGA.

```
K2HgHAu
1.0
5.3691 0.0000 0.0000
0.0000 5.3691 0.0000
0.0000 0.0000 4.5783
K Hg H Au
2 1 1 1
direct
0.0000 0.5000 0.0000 K
0.5000 0.0000 0.0000 K
0.0000 0.0000 0.5000 Hg
0.0000 0.0000 0.0000 H
0.5000 0.5000 0.5000 Au
```

Properties
SG   P4/mmm
ΔE to the lowest computed polymorph   63 meV per atom
V   26.396 A^3/atom
Theoretical density   5.998 g cm⁻³

***

Record 6
A geometry-optimized K2HgHAu structure, computed with PBE-GGA.

```
K2HgHAu
1.0
6.4506 0.0000 0.0000
0.0000 6.4506 0.0000
0.0000 0.0000 3.6768
K Hg H Au
2 1 1 1
direct
0.0000 0.5000 0.0000 K
0.5000 0.0000 0.0000 K
0.0000 0.0000 0.5000 Hg
0.5000 0.5000 0.5000 H
0.5000 0.5000 0.0000 Au
```

Properties
SG   P4/mmm
ΔE to the lowest computed polymorph   87 meV per atom
V   30.599 A^3/atom
Theoretical density   5.175 g cm⁻³

***

Record 7
A geometry-optimized Li2HgHAu structure, computed with PBE-GGA.

```
Li2HgHAu
1.0
4.3274 0.0000 0.0000
0.0000 4.3274 0.0000
0.0000 0.0000 3.7977
Li Hg H Au
2 1 1 1
direct
0.0000 0.5000 0.0000 Li
0.5000 0.0000 0.0000 Li
0.0000 0.0000 0.5000 Hg
0.5000 0.5000 0.0000 H
0.5000 0.5000 0.5000 Au
```

Properties
SG   P4/mmm
ΔE to the lowest computed polymorph   0 meV per atom
V   14.224 A^3/atom
Theoretical density   9.630 g cm⁻³

***

Record 8
A geometry-optimized LiHg2HAu structure, computed with PBE-GGA.

```
LiHg2HAu
1.0
5.0777 0.0000 0.0000
0.0000 5.0777 0.0000
0.0000 0.0000 3.2206
Li Hg H Au
1 2 1 1
direct
0.0000 0.0000 0.0000 Li
0.0000 0.5000 0.5000 Hg
0.5000 0.0000 0.5000 Hg
0.0000 0.0000 0.5000 H
0.5000 0.5000 0.0000 Au
```

Properties
SG   P4/mmm
Raw total energy   -1.8180 eV per atom
V   16.607 A^3/atom
Theoretical density   12.121 g cm⁻³

***

Record 9
A geometry-optimized Li2HgHAu structure, computed with PBE-GGA.

```
Li2HgHAu
1.0
4.1529 0.0000 0.0000
0.0000 4.1529 0.0000
0.0000 0.0000 4.1732
Li Hg H Au
2 1 1 1
direct
0.0000 0.5000 0.0000 Li
0.5000 0.0000 0.0000 Li
0.0000 0.0000 0.5000 Hg
0.0000 0.0000 0.0000 H
0.5000 0.5000 0.5000 Au
```

Properties
SG   P4/mmm
ΔE to the lowest computed polymorph   82 meV per atom
V   14.395 A^3/atom
Theoretical density   9.516 g cm⁻³

***

Record 10
A geometry-optimized LiHgHAu2 structure, computed with PBE-GGA.

```
LiHgHAu2
1.0
4.1438 0.0000 0.0000
0.0000 4.1438 0.0000
0.0000 0.0000 4.3929
Li Hg H Au
1 1 1 2
direct
0.0000 0.0000 0.0000 Li
0.5000 0.5000 0.0000 Hg
0.0000 0.0000 0.5000 H
0.0000 0.5000 0.5000 Au
0.5000 0.0000 0.5000 Au
```

Properties
SG   P4/mmm
Raw total energy   -2.4990 eV per atom
V   15.086 A^3/atom
Theoretical density   13.263 g cm⁻³

***

Record 11
A geometry-optimized MgHgH2Au structure, computed with PBE-GGA.

```
MgHgH2Au
1.0
3.7614 0.0000 0.0000
0.0000 3.7614 0.0000
0.0000 0.0000 6.3244
Mg Hg H Au
1 1 2 1
direct
0.0000 0.0000 0.0000 Mg
0.0000 0.0000 0.5000 Hg
0.0000 0.5000 0.5000 H
0.5000 0.0000 0.5000 H
0.5000 0.5000 0.0000 Au
```

Properties
SG   P4/mmm
Raw total energy   -2.1328 eV per atom
V   17.896 A^3/atom
Theoretical density   7.866 g cm⁻³

***

Record 12
A geometry-optimized Mg2HgHAu structure, computed with PBE-GGA.

```
Mg2HgHAu
1.0
4.7761 0.0000 0.0000
0.0000 4.7761 0.0000
0.0000 0.0000 3.6329
Mg Hg H Au
2 1 1 1
direct
0.0000 0.5000 0.0000 Mg
0.5000 0.0000 0.0000 Mg
0.0000 0.0000 0.5000 Hg
0.5000 0.5000 0.0000 H
0.5000 0.5000 0.5000 Au
```

Properties
SG   P4/mmm
Raw total energy   -2.2144 eV per atom
V   16.574 A^3/atom
Theoretical density   8.960 g cm⁻³

***

- V of number 9 (Li2HgHAu)?
  14.395 A^3/atom

***

- Look up the theoretical density of the eleventh one.
  7.866 g cm⁻³

***

- Which formula does entry 7 have?
  Li2HgHAu

***

- Among the records above, which one has the highest V?
  number 6